Here is crystalline MnCr2Sb at its relaxed geometry from Alexandria. Energies are from PBE.

Cell lengths 2.916, 3.774, 5.319 Å; angles 90.00, 90.11, 90.00 degrees
Element x y z (fractional)
Mn 0.000 0.000 0.000
Cr 0.498 0.500 0.194
Cr 0.502 0.500 0.806
Sb 0.000 0.000 0.500

Results
Energy relative to the elements, uncorrected   0.340 eV per atom
Density of states at the Fermi level   4.2 states/eV/cell
Final energy   -31.2 eV for the cell shown
Total magnetization   1.233 μB per formula unit